First-principles (GGA-PBE) data for a geometry-optimized LiBeN structure, as listed in the Alexandria database.

a b c (Å): 3.3565 3.3565 3.3565
angles (deg): 129.32 129.32 74.50
Sites, in units of the cell vectors:
Li  0.0000  0.0000  0.0000
Be  0.6490  0.6490  0.0000
N  0.3422  0.3422  0.0000

Values from the calculation:
The formation energy from raw total energies comes out at 2.0 kcal/mol of atoms.

First-principles (GGA-PBE) data for a geometry-optimized CuNiAgSb structure, as listed in the Alexandria database.

a b c (Å): 4.4722 4.4722 4.4722
angles (deg): 60.00 60.00 60.00
Sites, in units of the cell vectors:
Cu  0.0000  0.0000  0.0000
Ni  0.5000  0.5000  0.5000
Ag  0.2500  0.2500  0.2500
Sb  0.7500  0.7500  0.7500

Values from the calculation:
The formation energy from raw total energies comes out at 1.8 kcal/mol of atoms. Its density of states at the Fermi level is 1.52 states/eV/f.u.

First-principles (GGA-PBE) data for a geometry-optimized Al2HI8 structure, as listed in the Alexandria database.

a b c (Å): 8.9049 8.9049 8.3047
angles (deg): 104.44 104.44 60.50
Sites, in units of the cell vectors:
Al  0.2157  0.2157  0.3235
Al  0.7843  0.7843  0.6765
H  0.0000  0.0000  0.0000
I  0.0981  0.6870  0.8435
I  0.2157  0.2157  0.6312
I  0.3130  0.9019  0.1565
I  0.3709  0.3709  0.2855
I  0.6291  0.6291  0.7145
I  0.6870  0.0981  0.8435
I  0.7843  0.7843  0.3688
I  0.9019  0.3130  0.1565

Values from the calculation:
Its density of states at the Fermi level is 5.72 states/eV/f.u.

First-principles (GGA-PBE) data for a geometry-optimized SrSc3Zn structure, as listed in the Alexandria database.

a b c (Å): 5.2566 5.2566 5.2566
angles (deg): 90.00 90.00 90.00
Sites, in units of the cell vectors:
Sr  0.0000  0.0000  0.0000
Sc  0.0000  0.0000  0.5000
Sc  0.0000  0.5000  0.0000
Sc  0.5000  0.0000  0.0000
Zn  0.5000  0.5000  0.5000

Values from the calculation:
The polymorph energy (0 for the lowest one) is 1.164 eV/atom. Its density of states at the Fermi level is 3.74 states/eV/f.u. The calculation puts the formation energy at 1374 meV/atom.

First-principles (GGA-PBE) data for a geometry-optimized Pa2Be4Pt3Au structure, as listed in the Alexandria database.

a b c (Å): 4.0382 4.0382 9.6317
angles (deg): 90.00 90.00 90.00
Sites, in units of the cell vectors:
Pa  0.0000  0.5000  0.2371
Pa  0.5000  0.0000  0.7629
Be  0.0000  0.0000  0.0000
Be  0.0000  0.5000  0.6318
Be  0.5000  0.0000  0.3682
Be  0.5000  0.5000  0.0000
Pt  0.0000  0.5000  0.8728
Pt  0.5000  0.0000  0.1272
Pt  0.5000  0.5000  0.5000
Au  0.0000  0.0000  0.5000

Values from the calculation:
Its density of states at the Fermi level is 10.53 states/eV/f.u. The calculation puts the formation energy at -621 meV/atom.

First-principles (GGA-PBE) data for a geometry-optimized CrTe2As structure, as listed in the Alexandria database.

a b c (Å): 7.5167 7.5167 7.5167
angles (deg): 149.63 149.63 43.48
Sites, in units of the cell vectors:
Cr  0.0000  0.0000  0.0000
Te  0.2500  0.7500  0.5000
Te  0.5000  0.5000  0.0000
As  0.7500  0.2500  0.5000

Values from the calculation:
The formation energy from raw total energies comes out at 9.0 kcal/mol of atoms. Its density of states at the Fermi level is 3.37 states/eV/f.u.

First-principles (GGA-PBE) data for a geometry-optimized CoRhSe2 structure, as listed in the Alexandria database.

a b c (Å): 4.9907 4.9907 4.3923
angles (deg): 91.62 91.62 41.12
Sites, in units of the cell vectors:
Co  0.0000  0.0000  0.0000
Rh  0.2931  0.2931  0.2168
Se  0.6538  0.6538  0.8992
Se  0.9212  0.9212  0.4824

Values from the calculation:
The formation energy from raw total energies comes out at -1.8 kcal/mol of atoms. Its density of states at the Fermi level is 3.20 states/eV/f.u.

| no. | DFT total energy (eV/atom) |
| --- | --- |
| 1 | -4.57 |
| 2 | -4.14 |
| 3 | -2.37 |
| 4 | -3.02 |
| 5 | -6.15 |
| 6 | -4.75 |
| 7 | -5.44 |